Record 1
## RbPmTm4Se8 (PBE-GGA)

Data for crystalline RbPmTm4Se8 at its relaxed geometry.

Calculated values
Calculated volume in Å³ per cell: 449.9
Formation energy without anion corrections in eV per atom: -1.6958
Symmetry: R3m, No. 160
N(E_F) in states/eV/atom: 0.00

a = 8.519 Å, b = 8.519 Å, c = 8.685 Å
α = 60.63°, β = 60.63°, γ = 60.00°
Fractional positions:
Rb1 0.369 0.369 0.894
Pm1 0.006 0.006 0.982
Tm1 0.626 0.626 0.123
Tm2 0.004 0.487 0.505
Tm3 0.487 0.004 0.505
Tm4 0.004 0.004 0.505
Se1 0.240 0.800 0.720
Se2 0.800 0.240 0.720
Se3 0.240 0.240 0.720
Se4 0.230 0.230 0.311
Se5 0.753 0.231 0.262
Se6 0.231 0.753 0.262
Se7 0.753 0.753 0.262
Se8 0.757 0.757 0.729


Record 2
## Rb4PmTm3Se8 (PBE-GGA)

Data for crystalline Rb4PmTm3Se8 at its relaxed geometry.

Calculated values
Calculated volume in Å³ per cell: 496.0
Formation energy without anion corrections in eV per atom: -1.7246
Symmetry: R-3m, No. 166
N(E_F) in states/eV/atom: 0.00

a = 8.465 Å, b = 9.370 Å, c = 8.465 Å
α = 116.87°, β = 120.00°, γ = 90.00°
Fractional positions:
Rb1 0.500 0.000 0.000
Rb2 0.500 0.000 0.500
Rb3 0.000 0.000 0.000
Rb4 0.000 0.000 0.500
Pm1 0.000 0.500 0.000
Tm1 0.500 0.500 0.000
Tm2 0.500 0.500 0.500
Tm3 0.000 0.500 0.500
Se1 0.236 0.696 0.960
Se2 0.236 0.696 0.472
Se3 0.269 0.308 0.538
Se4 0.724 0.696 0.960
Se5 0.276 0.304 0.040
Se6 0.731 0.692 0.462
Se7 0.764 0.304 0.528
Se8 0.764 0.304 0.040


Record 3
## Rb4Pm3TmSe8 (PBE-GGA)

Data for crystalline Rb4Pm3TmSe8 at its relaxed geometry.

Calculated values
Calculated volume in Å³ per cell: 515.6
Formation energy without anion corrections in eV per atom: -1.7320
Symmetry: R-3m, No. 166
N(E_F) in states/eV/atom: 0.00

a = 8.621 Å, b = 9.432 Å, c = 8.621 Å
α = 117.21°, β = 120.00°, γ = 90.00°
Fractional positions:
Rb1 0.500 0.000 0.000
Rb2 0.500 0.000 0.500
Rb3 0.000 0.000 0.000
Rb4 0.000 0.000 0.500
Pm1 0.500 0.500 0.000
Pm2 0.500 0.500 0.500
Pm3 0.000 0.500 0.500
Tm1 0.000 0.500 0.000
Se1 0.228 0.697 0.969
Se2 0.228 0.697 0.457
Se3 0.266 0.299 0.533
Se4 0.741 0.697 0.969
Se5 0.259 0.303 0.031
Se6 0.734 0.701 0.467
Se7 0.772 0.303 0.543
Se8 0.772 0.303 0.031


Record 4
## Rb3PmU2Se6 (PBE-GGA)

Data for crystalline Rb3PmU2Se6 at its relaxed geometry.

Calculated values
Calculated volume in Å³ per cell: 383.8
Formation energy without anion corrections in eV per atom: -1.3770
Symmetry: C2/m, No. 12
N(E_F) in states/eV/atom: 0.84

a = 7.421 Å, b = 7.421 Å, c = 8.420 Å
α = 98.45°, β = 98.45°, γ = 120.00°
Fractional positions:
Rb1 0.165 0.835 0.500
Rb2 0.835 0.165 0.500
Rb3 0.500 0.500 0.500
Pm1 0.000 0.000 0.000
U1 0.333 0.667 0.000
U2 0.667 0.333 0.000
Se1 0.934 0.595 0.801
Se2 0.727 0.727 0.199
Se3 0.066 0.405 0.199
Se4 0.595 0.934 0.801
Se5 0.273 0.273 0.801
Se6 0.405 0.066 0.199


Record 5
## Rb2PmUSe6 (PBE-GGA)

Data for crystalline Rb2PmUSe6 at its relaxed geometry.

Calculated values
Calculated volume in Å³ per cell: 687.0
Formation energy without anion corrections in eV per atom: -1.2210
Symmetry: Pmmn, No. 59
N(E_F) in states/eV/atom: 0.63

a = 7.860 Å, b = 7.863 Å, c = 11.117 Å
α = 90.00°, β = 90.00°, γ = 90.00°
Fractional positions:
Rb1 0.500 0.750 0.250
Rb2 0.000 0.250 0.750
Rb3 0.500 0.750 0.750
Rb4 0.000 0.250 0.250
Pm1 0.000 0.749 0.500
Pm2 0.500 0.251 0.000
U1 0.500 0.249 0.500
U2 0.000 0.751 0.000
Se1 0.500 0.249 0.259
Se2 0.500 0.249 0.741
Se3 0.000 0.751 0.241
Se4 0.000 0.751 0.759
Se5 0.260 0.008 0.500
Se6 0.740 0.008 0.500
Se7 0.259 0.489 0.500
Se8 0.741 0.489 0.500
Se9 0.759 0.511 0.000
Se10 0.241 0.511 0.000
Se11 0.240 0.992 0.000
Se12 0.760 0.992 0.000


Record 6
## Rb3Pm2USe6 (PBE-GGA)

Data for crystalline Rb3Pm2USe6 at its relaxed geometry.

Calculated values
Calculated volume in Å³ per cell: 391.5
Formation energy without anion corrections in eV per atom: -1.5484
Symmetry: C2/m, No. 12
N(E_F) in states/eV/atom: 0.86

a = 7.502 Å, b = 7.502 Å, c = 8.411 Å
α = 98.55°, β = 98.55°, γ = 120.00°
Fractional positions:
Rb1 0.168 0.832 0.500
Rb2 0.832 0.168 0.500
Rb3 0.500 0.500 0.500
Pm1 0.334 0.666 0.000
Pm2 0.666 0.334 0.000
U1 0.000 0.000 0.000
Se1 0.934 0.604 0.800
Se2 0.737 0.737 0.200
Se3 0.066 0.396 0.200
Se4 0.604 0.934 0.800
Se5 0.263 0.263 0.800
Se6 0.396 0.066 0.200


Record 7
## Rb2PmUSe4 (PBE-GGA)

Data for crystalline Rb2PmUSe4 at its relaxed geometry.

Calculated values
Calculated volume in Å³ per cell: 258.4
Formation energy without anion corrections in eV per atom: -1.4607
Symmetry: P2/m, No. 10
N(E_F) in states/eV/atom: 0.94

a = 4.311 Å, b = 7.461 Å, c = 8.412 Å
α = 107.23°, β = 90.00°, γ = 90.00°
Fractional positions:
Rb1 0.500 0.000 0.500
Rb2 0.000 0.500 0.500
Pm1 0.500 0.500 0.000
U1 0.000 0.000 0.000
Se1 0.500 0.228 0.198
Se2 0.500 0.772 0.802
Se3 0.000 0.263 0.800
Se4 0.000 0.737 0.200


Record 8
## Rb4PmU3Se8 (PBE-GGA)

Data for crystalline Rb4PmU3Se8 at its relaxed geometry.

Calculated values
Calculated volume in Å³ per cell: 510.3
Formation energy without anion corrections in eV per atom: -1.3325
Symmetry: R-3m, No. 166
N(E_F) in states/eV/atom: 1.15

a = 8.553 Å, b = 9.449 Å, c = 8.553 Å
α = 116.92°, β = 120.00°, γ = 90.00°
Fractional positions:
Rb1 0.500 0.000 0.000
Rb2 0.500 0.000 0.500
Rb3 0.000 0.000 0.000
Rb4 0.000 0.000 0.500
Pm1 0.000 0.500 0.000
U1 0.500 0.500 0.000
U2 0.500 0.500 0.500
U3 0.000 0.500 0.500
Se1 0.235 0.700 0.964
Se2 0.235 0.700 0.471
Se3 0.268 0.303 0.535
Se4 0.729 0.700 0.964
Se5 0.271 0.300 0.036
Se6 0.732 0.697 0.465
Se7 0.765 0.300 0.529
Se8 0.765 0.300 0.036


Record 9
## Rb4Pm3USe8 (PBE-GGA)

Data for crystalline Rb4Pm3USe8 at its relaxed geometry.

Calculated values
Calculated volume in Å³ per cell: 522.0
Formation energy without anion corrections in eV per atom: -1.5962
Symmetry: R-3m, No. 166
N(E_F) in states/eV/atom: 0.61

a = 8.668 Å, b = 9.457 Å, c = 8.669 Å
α = 117.31°, β = 120.00°, γ = 90.00°
Fractional positions:
Rb1 0.500 0.000 0.000
Rb2 0.500 0.000 0.500
Rb3 0.000 0.000 0.000
Rb4 0.000 0.000 0.500
Pm1 0.500 0.500 0.000
Pm2 0.500 0.500 0.500
Pm3 0.000 0.500 0.500
U1 0.000 0.500 0.000
Se1 0.231 0.699 0.968
Se2 0.231 0.699 0.462
Se3 0.266 0.299 0.533
Se4 0.737 0.699 0.968
Se5 0.263 0.301 0.032
Se6 0.734 0.701 0.467
Se7 0.769 0.301 0.538
Se8 0.769 0.301 0.032


Record 10
## Rb3Pm3USe8 (PBE-GGA)

Data for crystalline Rb3Pm3USe8 at its relaxed geometry.

Calculated values
Calculated volume in Å³ per cell: 520.4
Formation energy without anion corrections in eV per atom: -1.6279
Symmetry: P-1, No. 2
N(E_F) in states/eV/atom: 0.39

a = 8.589 Å, b = 8.590 Å, c = 9.540 Å
α = 116.70°, β = 89.97°, γ = 120.11°
Fractional positions:
Rb1 0.000 0.000 0.000
Rb2 0.000 0.500 0.000
Rb3 0.500 0.500 0.000
Pm1 0.500 0.000 0.500
Pm2 0.500 0.500 0.500
Pm3 0.000 0.500 0.500
U1 0.000 0.000 0.500
Se1 0.266 0.533 0.301
Se2 0.734 0.467 0.699
Se3 0.774 0.549 0.308
Se4 0.226 0.451 0.692
Se5 0.774 0.033 0.308
Se6 0.226 0.967 0.692
Se7 0.259 0.033 0.308
Se8 0.741 0.967 0.692


Record 11
## Rb3PmY2Se6 (PBE-GGA)

Data for crystalline Rb3PmY2Se6 at its relaxed geometry.

Calculated values
Calculated volume in Å³ per cell: 380.7
Formation energy without anion corrections in eV per atom: -1.7442
Symmetry: C2/m, No. 12
N(E_F) in states/eV/atom: 0.00

a = 7.412 Å, b = 7.412 Å, c = 8.376 Å
α = 98.49°, β = 98.49°, γ = 120.00°
Fractional positions:
Rb1 0.166 0.834 0.500
Rb2 0.834 0.166 0.500
Rb3 0.500 0.500 0.500
Pm1 0.000 0.000 0.000
Y1 0.333 0.667 0.000
Y2 0.667 0.333 0.000
Se1 0.934 0.595 0.803
Se2 0.727 0.727 0.197
Se3 0.066 0.405 0.197
Se4 0.595 0.934 0.803
Se5 0.273 0.273 0.803
Se6 0.405 0.066 0.197


Record 12
## Rb4PmY3Se8 (PBE-GGA)

Data for crystalline Rb4PmY3Se8 at its relaxed geometry.

Calculated values
Calculated volume in Å³ per cell: 505.6
Formation energy without anion corrections in eV per atom: -1.7447
Symmetry: R-3m, No. 166
N(E_F) in states/eV/atom: 0.00

a = 8.542 Å, b = 9.400 Å, c = 8.544 Å
α = 117.05°, β = 119.99°, γ = 90.00°
Fractional positions:
Rb1 0.500 0.000 0.000
Rb2 0.500 0.000 0.500
Rb3 0.000 0.000 0.000
Rb4 0.000 0.000 0.500
Pm1 0.000 0.500 0.000
Y1 0.500 0.500 0.000
Y2 0.500 0.500 0.500
Y3 0.000 0.500 0.500
Se1 0.235 0.697 0.963
Se2 0.235 0.697 0.470
Se3 0.268 0.305 0.536
Se4 0.727 0.697 0.963
Se5 0.273 0.303 0.037
Se6 0.732 0.695 0.464
Se7 0.765 0.303 0.530
Se8 0.765 0.303 0.037


- Number 12 is which compound?
  Rb4PmY3Se8


- The lowest formation energy without anion corrections belongs to which entry?
  Rb4PmY3Se8